# 1
Computed, not measured: crystalline NaLaW2 at its relaxed geometry at the PBE-GGA level of DFT.

## Properties
Energy of formation from the pure elements = 1684 meV per atom
Energy relative to the lowest polymorph listed for this composition = 0.019 eV per atom
Fermi-level density of states = 25.10 states/eV per cell

Cell lengths 8.322, 8.322, 5.229 Å; angles 90.00, 90.00, 90.00 degrees
Space group I-42d (No. 122)
Symmetry-distinct sites (fractional):
Na 0.000 0.000 0.000 (multiplicity 4)
La 0.000 0.000 0.500 (multiplicity 4)
W 0.217 0.750 0.125 (multiplicity 8)

=====

# 2
Computed, not measured: crystalline NaLaY2 at its relaxed geometry at the PBE-GGA level of DFT.

## Properties
Energy of formation from the pure elements = 459 meV per atom
Energy relative to the lowest polymorph listed for this composition = 0.301 eV per atom
Fermi-level density of states = 7.29 states/eV per cell

Cell lengths 8.815, 8.815, 6.880 Å; angles 90.00, 90.00, 90.00 degrees
Space group I-42d (No. 122)
Symmetry-distinct sites (fractional):
Na 0.000 0.000 0.000 (multiplicity 4)
La 0.000 0.000 0.500 (multiplicity 4)
Y 0.227 0.750 0.125 (multiplicity 8)

=====

- What is the formula in the first record?
  NaLaW2